The following is a meta-GGA SCAN calculation of ReTeMo2 at its PBEsol-relaxed geometry, from Alexandria.

Properties
symmetry: No. 47
raw formation energy: 453 meV/atom
DFT total energy: -44.077 eV/atom

Cell and atoms, written as POSCAR:
```
ReTeMo2
1.0
2.993 0.000 0.000
0.000 4.150 0.000
0.000 0.000 5.284
Re Mo Te
1 2 1
direct
0.500 0.500 0.000
0.000 0.000 0.232
0.000 0.000 0.768
0.500 0.500 0.500
```